# KMg2Ir, single point on PBEsol structure, DFT meta-GGA SCAN
# Electronic total energy ... -89.08 eV per formula unit
# Polymorph energy (0 for the lowest one) ... 0 meV/atom
# Formation energy ... 0.3 eV per formula unit
data_KMg2Ir
_cell_length_a 3.0067
_cell_length_b 4.0745
_cell_length_c 8.0684
_cell_angle_alpha 90.00
_cell_angle_beta 90.00
_cell_angle_gamma 90.00
_space_group_name_H-M_alt 'P m m 2'
_space_group_IT_number 25
_space_group_name_Hall 'P 2 -2'
loop_
_atom_site_label
_atom_site_fract_x
_atom_site_fract_y
_atom_site_fract_z
_atom_site_occupancy
K1 0.0000 0.0000 0.0000 1
Mg1 0.0000 0.0000 0.6059 1
Mg2 0.5000 0.5000 0.3762 1
Ir1 0.5000 0.5000 0.6953 1